Compound: CsKRbPb
Source: Alexandria via LeMat-Bulk
Functional: GGA-PBE
Structure: relaxed

Properties
The formation energy comes out at -0.025 eV per atom.

a b c (Å): 6.611 6.611 6.611
angles (deg): 60.00 60.00 60.00
Fractional positions:
1 Cs 0.000 0.000 0.000
2 K 0.250 0.250 0.250
3 Rb 0.750 0.750 0.750
4 Pb 0.500 0.500 0.500

***

Compound: SrCr2Hg
Source: Alexandria via LeMat-Bulk
Functional: GGA-PBE
Structure: relaxed

Properties
The calculation puts the relative energy among the computed polymorphs at 537 meV/atom. The formation energy comes out at 0.835 eV per atom.

a b c (Å): 5.274 5.274 5.274
angles (deg): 133.77 117.25 81.39
Fractional positions:
1 Sr 0.000 0.000 0.000
2 Cr 0.311 0.811 0.500
3 Cr 0.430 0.430 0.000
4 Hg 0.694 0.194 0.500

***

Compound: Ba2DyHoS4
Source: Alexandria via LeMat-Bulk
Functional: GGA-PBE
Structure: relaxed

Properties
The formation energy from raw total energies is -2005 meV per atom.

a b c (Å): 7.100 4.112 7.520
angles (deg): 90.00 108.45 90.00
Fractional positions:
1 Ba 0.000 0.000 0.000
2 Ba 0.500 0.500 0.000
3 Dy 0.000 0.500 0.500
4 Ho 0.500 0.000 0.500
5 S 0.237 0.000 0.708
6 S 0.265 0.500 0.292
7 S 0.735 0.500 0.708
8 S 0.763 0.000 0.292

***

Compound: SrGa3C
Source: Alexandria via LeMat-Bulk
Functional: GGA-PBE
Structure: relaxed

Properties
The calculation puts the relative energy among the computed polymorphs at 1597 meV/atom. The formation energy comes out at 2.152 eV per atom.

a b c (Å): 5.981 5.981 5.981
angles (deg): 90.00 90.00 90.00
Fractional positions:
1 Sr 0.000 0.000 0.000
2 Ga 0.000 0.000 0.500
3 Ga 0.000 0.500 0.000
4 Ga 0.500 0.000 0.000
5 C 0.500 0.500 0.500

***

Compound: Rb3SnHg6
Source: Alexandria via LeMat-Bulk
Functional: GGA-PBE
Structure: relaxed

Properties
The formation energy comes out at -0.215 eV per atom.

a b c (Å): 8.176 8.176 8.176
angles (deg): 112.86 112.86 112.86
Fractional positions:
1 Rb 0.000 0.500 0.500
2 Rb 0.500 0.000 0.500
3 Rb 0.500 0.500 0.000
4 Sn 0.500 0.500 0.500
5 Hg 0.066 0.066 0.352
6 Hg 0.066 0.352 0.066
7 Hg 0.352 0.066 0.066
8 Hg 0.648 0.934 0.934
9 Hg 0.934 0.648 0.934
10 Hg 0.934 0.934 0.648

***

Compound: CsS
Source: Alexandria via LeMat-Bulk
Functional: GGA-PBE
Structure: relaxed

Properties
The formation energy from raw total energies is -417 meV per atom.

a b c (Å): 9.090 9.090 6.929
angles (deg): 90.00 90.00 120.00
Fractional positions:
1 Cs 0.107 0.380 0.250
2 Cs 0.273 0.893 0.250
3 Cs 0.380 0.273 0.750
4 Cs 0.620 0.727 0.250
5 Cs 0.727 0.107 0.750
6 Cs 0.893 0.620 0.750
7 S 0.173 0.486 0.750
8 S 0.314 0.827 0.750
9 S 0.486 0.314 0.250
10 S 0.514 0.686 0.750
11 S 0.686 0.173 0.250
12 S 0.827 0.514 0.250

***

Compound: Sc2Sn2H
Source: Alexandria via LeMat-Bulk
Functional: GGA-PBE
Structure: relaxed

Properties
The calculation puts the relative energy among the computed polymorphs at 0 meV/atom.

a b c (Å): 7.813 7.813 7.909
angles (deg): 90.00 90.00 154.41
Fractional positions:
1 Sc 0.055 0.945 0.500
2 Sc 0.367 0.633 0.319
3 Sc 0.633 0.367 0.819
4 Sc 0.945 0.055 0.000
5 Sn 0.283 0.717 0.947
6 Sn 0.429 0.571 0.681
7 Sn 0.571 0.429 0.181
8 Sn 0.717 0.283 0.447
9 H 0.108 0.892 0.724
10 H 0.892 0.108 0.224

***

Compound: PrDyCd14
Source: Alexandria via LeMat-Bulk
Functional: GGA-PBE
Structure: relaxed

Properties
The formation energy comes out at -0.144 eV per atom.

a b c (Å): 6.668 6.668 8.482
angles (deg): 90.00 90.00 90.00
Fractional positions:
1 Pr 0.000 0.000 0.000
2 Dy 0.500 0.500 0.000
3 Cd 0.000 0.000 0.500
4 Cd 0.000 0.500 0.000
5 Cd 0.000 0.500 0.500
6 Cd 0.253 0.253 0.261
7 Cd 0.253 0.253 0.739
8 Cd 0.253 0.747 0.261
9 Cd 0.253 0.747 0.739
10 Cd 0.500 0.000 0.000
11 Cd 0.500 0.000 0.500
12 Cd 0.500 0.500 0.500
13 Cd 0.747 0.253 0.261
14 Cd 0.747 0.253 0.739
15 Cd 0.747 0.747 0.261
16 Cd 0.747 0.747 0.739

***

Compound: ScCd2Bi2
Source: Alexandria via LeMat-Bulk
Functional: GGA-PBE
Structure: relaxed

Properties
The calculation puts the relative energy among the computed polymorphs at 96 meV/atom. The formation energy comes out at -0.009 eV per atom.

a b c (Å): 8.083 8.083 4.108
angles (deg): 90.00 90.00 90.00
Fractional positions:
1 Sc 0.000 0.000 0.000
2 Sc 0.500 0.500 0.000
3 Cd 0.125 0.375 0.000
4 Cd 0.375 0.875 0.000
5 Cd 0.625 0.125 0.000
6 Cd 0.875 0.625 0.000
7 Bi 0.179 0.679 0.500
8 Bi 0.321 0.179 0.500
9 Bi 0.679 0.821 0.500
10 Bi 0.821 0.321 0.500

***

Compound: Tm2ScRh3
Source: Alexandria via LeMat-Bulk
Functional: GGA-PBE
Structure: relaxed

Properties
The formation energy comes out at -0.976 eV per atom.

a b c (Å): 3.329 3.329 9.986
angles (deg): 90.00 90.00 90.00
Fractional positions:
1 Tm 0.000 0.000 0.171
2 Tm 0.000 0.000 0.829
3 Sc 0.000 0.000 0.500
4 Rh 0.500 0.500 0.000
5 Rh 0.500 0.500 0.343
6 Rh 0.500 0.500 0.657

***

Compound: ErSi2NiPd
Source: Alexandria via LeMat-Bulk
Functional: GGA-PBE
Structure: relaxed

Properties
The formation energy from raw total energies is -862 meV per atom.

a b c (Å): 5.674 5.674 5.674
angles (deg): 138.29 138.29 60.46
Fractional positions:
1 Er 0.000 0.000 0.000
2 Si 0.380 0.380 0.000
3 Si 0.620 0.620 0.000
4 Ni 0.250 0.750 0.500
5 Pd 0.750 0.250 0.500